Record 1
VASP calculation (PBE) on crystalline NaSr2AuN at its relaxed geometry.

Results
- Total magnetic moment: 0.000 μB per atom
- Space group: P4/mmm
- ΔE_f (raw): -0.416 eV/atom
- D(E_F): 0.49 states/eV/atom

Cell: 5.202 5.202 4.753 Å, 90.00 90.00 90.00°
Positions (direct):
Sr 0.000 0.500 0.000
Sr 0.500 0.000 0.000
N 0.000 0.000 0.000
Au 0.500 0.500 0.500
Na 0.000 0.000 0.500

Record 2
VASP calculation (PBE) on crystalline NaTeAuN2 at its relaxed geometry.

Results
- Total magnetic moment: 1.106 μB per atom
- Space group: P4/mmm
- ΔE_f (raw): 1.874 eV/atom
- Energy above the lowest structure with this stoichiometry: 535 meV per atom
- D(E_F): 0.48 states/eV/atom

Cell: 4.321 4.321 6.393 Å, 90.00 90.00 90.00°
Site moments in Bohr magnetons follow the coordinates.
Positions (direct):
Na 0.000 0.000 0.000  0.03
Te 0.000 0.000 0.500  0.20
Au 0.500 0.500 0.500  0.06
N 0.000 0.500 0.000  1.70
N 0.500 0.000 0.000  1.70

Record 3
VASP calculation (PBE) on crystalline NaTeAuN2 at its relaxed geometry.

Results
- Total magnetic moment: 0.812 μB per atom
- Space group: P4/mmm
- ΔE_f (raw): 1.339 eV/atom
- Energy above the lowest structure with this stoichiometry: 0 meV per atom
- D(E_F): 0.52 states/eV/atom

Cell: 4.269 4.269 5.952 Å, 90.00 90.00 90.00°
Site moments in Bohr magnetons follow the coordinates.
Positions (direct):
Na 0.500 0.500 0.500  0.00
Te 0.000 0.000 0.500  0.30
Au 0.000 0.000 0.000  0.27
N 0.000 0.500 0.000  1.13
N 0.500 0.000 0.000  1.13

Record 4
VASP calculation (PBE) on crystalline NaY2AuN at its relaxed geometry.

Results
- Total magnetic moment: 0.000 μB per atom
- Space group: P4/mmm
- ΔE_f (raw): -0.718 eV/atom
- D(E_F): 0.72 states/eV/atom

Cell: 4.710 4.710 4.731 Å, 90.00 90.00 90.00°
Positions (direct):
Y 0.000 0.500 0.000
Y 0.500 0.000 0.000
Na 0.000 0.000 0.500
Au 0.500 0.500 0.500
N 0.000 0.000 0.000

Record 5
VASP calculation (PBE) on crystalline Nb2AuN at its relaxed geometry.

Results
- Total magnetic moment: 0.000 μB per atom
- Space group: I-42d
- ΔE_f (raw): -0.056 eV/atom
- D(E_F): 0.52 states/eV/atom

Cell: 5.206 5.206 6.666 Å, 67.01 67.01 90.00°
Positions (direct):
Nb 0.515 0.125 0.250
Nb 0.235 0.625 0.250
Nb 0.375 0.485 0.750
Nb 0.875 0.765 0.750
Au 0.000 0.000 0.000
Au 0.750 0.250 0.500
N 0.500 0.500 0.000
N 0.250 0.750 0.500

Record 6
VASP calculation (PBE) on crystalline NbAuN3 at its relaxed geometry.

Results
- Total magnetic moment: 0.000 μB per atom
- Space group: Pm-3m
- ΔE_f (raw): 1.052 eV/atom
- D(E_F): 1.13 states/eV/atom

Cell: 4.092 4.092 4.092 Å, 90.00 90.00 90.00°
Positions (direct):
Nb 0.000 0.000 0.000
Au 0.500 0.500 0.500
N 0.000 0.500 0.000
N 0.000 0.000 0.500
N 0.500 0.000 0.000

Record 7
VASP calculation (PBE) on crystalline Nb2AuN at its relaxed geometry.

Results
- Total magnetic moment: 0.000 μB per atom
- Space group: R-3m
- ΔE_f (raw): -0.576 eV/atom
- D(E_F): 0.49 states/eV/atom

Cell: 3.207 3.207 7.062 Å, 76.87 76.87 60.00°
Positions (direct):
Nb 0.778 0.778 0.666
Nb 0.222 0.222 0.334
Au 0.000 0.000 0.000
N 0.500 0.500 0.500

Record 8
VASP calculation (PBE) on crystalline NbAuN3 at its relaxed geometry.

Results
- Total magnetic moment: 0.000 μB per atom
- Space group: Pm-3m
- ΔE_f (raw): 1.959 eV/atom
- D(E_F): 0.35 states/eV/atom

Cell: 3.932 3.932 3.932 Å, 90.00 90.00 90.00°
Positions (direct):
Nb 0.500 0.500 0.500
Au 0.000 0.000 0.000
N 0.000 0.500 0.000
N 0.000 0.000 0.500
N 0.500 0.000 0.000